Here is LiMnAl2 after structural relaxation from the Alexandria database. Energies are from GGA-PBE.

Values from the calculation:
VASP energy	-4.714	eV/atom
symmetry	I-4m2 (119)
ΔH_f (0 K)	-0.07	eV per atom

Structure (POSCAR):
```
LiMnAl2
1.0
-0.0459 0.1908 4.9047
-1.5971 -4.0150 2.3289
3.2344 0.9863 -3.5582
Al Li Mn
2 1 1
Direct
0.0000 0.0000 0.0000
0.2500 0.7500 0.5000
0.5000 0.5000 0.0000
0.7500 0.2500 0.5000
```

Here is Ta2TlHg after structural relaxation from the Alexandria database. Energies are from GGA-PBE.

Values from the calculation:
VASP energy	-5.896	eV/atom
symmetry	P4/mmm (123)
ΔH_f (0 K)	0.70	eV per atom

Structure (POSCAR):
```
Ta2TlHg
1.0
-1.2626 3.3607 0.5418
-2.8676 -1.3615 1.7621
3.0655 0.3089 5.2275
Hg Ta Tl
1 2 1
Direct
0.5000 0.5000 0.7500
0.0000 0.0000 0.9776
0.0000 0.0000 0.5224
0.5000 0.5000 0.2500
```

Here is CdSb3Rh after structural relaxation from the Alexandria database. Energies are from GGA-PBE.

Values from the calculation:
energy relative to the lowest polymorph listed for this composition	0.0	meV/atom
VASP energy	-3.841	eV/atom
symmetry	Pm-3m (221)
formation energy without anion corrections	286	meV per atom

Structure (POSCAR):
```
CdSb3Rh
1.0
5.2057 0.0000 0.0000
0.0000 5.2057 0.0000
0.0000 0.0000 5.2057
Sb Rh Cd
3 1 1
Direct
0.0000 0.5000 0.0000
0.0000 0.0000 0.5000
0.5000 0.0000 0.0000
0.0000 0.0000 0.0000
0.5000 0.5000 0.5000
```

Here is TbNpZn4 after structural relaxation from the Alexandria database. Energies are from GGA-PBE.

Values from the calculation:
VASP energy	-3.859	eV/atom
symmetry	F-43m (216)
ΔH_f (0 K)	-0.08	eV per atom

Structure (POSCAR):
```
TbNpZn4
1.0
-2.2381 3.0391 -3.9455
-5.0119 2.0648 0.6555
-0.6660 5.3691 0.7355
Np Zn Tb
1 4 1
Direct
0.0000 0.0000 0.0000
0.6250 0.6250 0.1249
0.6250 0.1249 0.6250
0.6250 0.6250 0.6250
0.1249 0.6250 0.6250
0.2500 0.2500 0.2500
```

How do the records compare in density of states at the Fermi level? In the order shown, they have 2.94; 3.21; 5.04; 7.56 states/eV/f.u..